# ScHgP2Cl

An optimized crystal structure of ScHgP2Cl (PBE, the Alexandria database).

```
data_ScHgP2Cl
_symmetry_space_group_name_H-M 'P 1'
_symmetry_Int_Tables_number 1
_cell_length_a 4.899
_cell_length_b 4.899
_cell_length_c 5.247
_cell_angle_alpha 90.00
_cell_angle_beta 90.00
_cell_angle_gamma 90.00
loop_
_symmetry_equiv_pos_as_xyz
'x,y,z'
loop_
_atom_site_label
_atom_site_fract_x
_atom_site_fract_y
_atom_site_fract_z
_atom_site_occupancy
P1 0.500 0.000 0.000 1
P2 0.000 0.500 0.000 1
Sc1 0.500 0.500 0.500 1
Hg1 0.000 0.000 0.000 1
Cl1 0.000 0.000 0.500 1
```

Calculated values
**E_form (uncorrected)**: 0.523 eV per atom
**Energy above the lowest structure with this stoichiometry**: 592.8 meV per atom
**Size of the total moment**: 0.00 μB per cell